Here is an optimized crystal structure of Zr4Al2S from Alexandria via LeMat-Bulk. Energies are from PBE-GGA.

## Properties
As for the space-group type: No. 12. The value obtained for the density of states at the Fermi level is 5.64 states/eV/cell. The raw formation energy comes out at -742 meV/atom.

a = 3.717 Å, b = 5.954 Å, c = 7.054 Å
α = 76.53°, β = 74.72°, γ = 71.81°
Fractional coordinates of all 7 atoms:
S 0.000 0.000 0.000
Al 0.623 0.420 0.335
Zr 0.331 0.272 0.065
Al 0.377 0.580 0.665
Zr 0.102 0.167 0.628
Zr 0.898 0.833 0.372
Zr 0.669 0.728 0.935